1.
The following is a DFT calculation (meta-GGA SCAN) of BaGaN2F at its PBEsol-relaxed geometry.

Calculated values
- ρ: 3.2 Mg/m³
- D(E_F): 2.04 states/eV per cell
- Symmetry: P4/mmm
- Total moment: 0.80 μB/atom
- ΔE_f (raw): 488 meV per atom
- Final energy: -75.6 eV per cell

Cell lengths 4.8592, 5.2097, 5.2097 Å; angles 90.00, 90.00, 90.00 degrees
Fractional coordinates of all 5 atoms:
N: 0.0000 0.0000 0.5000
N: 0.0000 0.5000 0.0000
Ba: 0.0000 0.0000 0.0000
Ga: 0.5000 0.5000 0.5000
F: 0.5000 0.0000 0.0000

***

2.
The following is a DFT calculation (meta-GGA SCAN) of BaCaSc2 at its PBEsol-relaxed geometry.

Calculated values
- ρ: 3.4 Mg/m³
- ΔE to the lowest computed polymorph: 0 meV/atom
- D(E_F): 4.47 states/eV per cell
- Symmetry: R3m
- Total moment: 0.26 μB/atom
- Calculated formation energy: 1.1 eV per formula unit
- Final energy: -76.6 eV per cell

Cell lengths 3.5756, 3.5756, 11.8769 Å; angles 81.34, 81.34, 60.00 degrees
Fractional coordinates of all 4 atoms:
Sc: 0.0069 0.0069 0.9794
Sc: 0.7405 0.7405 0.7785
Ca: 0.2588 0.2588 0.2236
Ba: 0.4938 0.4938 0.5185

***

- What is the ρ in the second record?
  3.4 Mg/m³

***

Repeat the second record exactly.
The following is a DFT calculation (meta-GGA SCAN) of BaCaSc2 at its PBEsol-relaxed geometry.

Calculated values
- ρ: 3.4 Mg/m³
- ΔE to the lowest computed polymorph: 0 meV/atom
- D(E_F): 4.47 states/eV per cell
- Symmetry: R3m
- Total moment: 0.26 μB/atom
- Calculated formation energy: 1.1 eV per formula unit
- Final energy: -76.6 eV per cell

Cell lengths 3.5756, 3.5756, 11.8769 Å; angles 81.34, 81.34, 60.00 degrees
Fractional coordinates of all 4 atoms:
Sc: 0.0069 0.0069 0.9794
Sc: 0.7405 0.7405 0.7785
Ca: 0.2588 0.2588 0.2236
Ba: 0.4938 0.4938 0.5185

***

- Number 1 is which compound?
  BaGaN2F